Density functional theory data (GGA-PBE) for KSc3Zn after structural relaxation.

Results
ΔE to the lowest computed polymorph	976.8	meV per atom

Cell: 4.9312 4.9312 4.9312 Å, 90.00 90.00 90.00°
Sites, in units of the cell vectors:
1 Sc 0.0000 0.5000 0.0000
2 Sc 0.0000 0.0000 0.5000
3 Sc 0.5000 0.0000 0.0000
4 Zn 0.5000 0.5000 0.5000
5 K 0.0000 0.0000 0.0000

Density functional theory data (GGA-PBE) for VFePt2 after structural relaxation.

Cell: 3.7997 3.7997 9.1116 Å, 77.96 77.96 90.00°
Last column: magnetic moment on the atom in μB.
Sites, in units of the cell vectors:
1 Fe 0.0000 0.0000 0.0000  2.51
2 Fe 0.7500 0.2500 0.5000  2.51
3 Pt 0.6285 0.1250 0.2500  0.10
4 Pt 0.1215 0.6250 0.2500  0.10
5 Pt 0.3750 0.3715 0.7500  0.10
6 Pt 0.8750 0.8785 0.7500  0.10
7 V 0.5000 0.5000 0.0000  -1.63
8 V 0.2500 0.7500 0.5000  -1.63

Density functional theory data (GGA-PBE) for TmTcC after structural relaxation.

Results
ΔE to the lowest computed polymorph	177.0	meV per atom

Cell: 3.0942 9.7570 6.1014 Å, 90.00 90.00 90.00°
Sites, in units of the cell vectors:
1 C 0.2621 0.3803 0.3616
2 C 0.7621 0.6197 0.6384
3 C 0.7621 0.8803 0.1384
4 C 0.2621 0.1197 0.8616
5 Tc 0.7621 0.5224 0.3290
6 Tc 0.7621 0.9776 0.8290
7 Tc 0.2621 0.0224 0.1710
8 Tc 0.2621 0.4776 0.6710
9 Tm 0.7620 0.2097 0.5122
10 Tm 0.7620 0.2903 0.0122
11 Tm 0.2620 0.7097 0.9878
12 Tm 0.2620 0.7903 0.4878

Density functional theory data (GGA-PBE) for K2PuPbCl6 after structural relaxation.

Cell: 7.7520 7.9240 7.7521 Å, 120.74 119.50 90.00°
Last column: magnetic moment on the atom in μB.
Sites, in units of the cell vectors:
1 K 0.2156 0.2489 0.4978  0.00
2 K 0.7844 0.7511 0.5022  0.00
3 Pu 0.0000 0.5000 0.0000  5.64
4 Pb 0.5000 0.0000 0.0000  0.10
5 Cl 0.3694 0.7417 0.4834  -0.01
6 Cl 0.1714 0.1832 0.8578  -0.01
7 Cl 0.8286 0.3255 0.1422  -0.01
8 Cl 0.1714 0.6745 0.8578  -0.01
9 Cl 0.8286 0.8168 0.1422  -0.01
10 Cl 0.6306 0.2583 0.5166  -0.01

Density functional theory data (GGA-PBE) for ScPb3S after structural relaxation.

Results
ΔE to the lowest computed polymorph	284.6	meV per atom

Cell: 5.6354 5.6354 5.6354 Å, 90.00 90.00 90.00°
Sites, in units of the cell vectors:
1 Pb 0.0000 0.5000 0.0000
2 Pb 0.0000 0.0000 0.5000
3 Pb 0.5000 0.0000 0.0000
4 Sc 0.0000 0.0000 0.0000
5 S 0.5000 0.5000 0.5000

Density functional theory data (GGA-PBE) for Nd2Bi2N after structural relaxation.

Cell: 3.7212 7.4748 10.6650 Å, 90.00 100.05 90.00°
Sites, in units of the cell vectors:
1 Nd 0.4973 0.3729 0.9945
2 Nd 0.8658 0.1049 0.7317
3 Nd 0.1342 0.6049 0.2683
4 Nd 0.5027 0.8729 0.0055
5 Bi 0.8892 0.6287 0.7784
6 Bi 0.7555 0.4103 0.5110
7 Bi 0.2445 0.9103 0.4890
8 Bi 0.1108 0.1287 0.2216
9 N 0.4305 0.1176 0.8610
10 N 0.5695 0.6176 0.1390

Density functional theory data (GGA-PBE) for KTa2Sb after structural relaxation.

Cell: 6.6430 6.6430 6.6430 Å, 153.73 126.64 60.43°
Last column: magnetic moment on the atom in μB.
Sites, in units of the cell vectors:
1 K 0.4957 0.4957 0.0000  0.03
2 Sb 0.2154 0.7154 0.5000  0.01
3 Ta 0.9903 0.9903 0.0000  0.47
4 Ta 0.7986 0.2986 0.5000  -0.03

Density functional theory data (GGA-PBE) for YI2O after structural relaxation.

Results
ΔE to the lowest computed polymorph	0.0	meV per atom

Cell: 5.2322 5.2322 5.2322 Å, 60.00 60.00 60.00°
Last column: magnetic moment on the atom in μB.
Sites, in units of the cell vectors:
1 I 0.2500 0.2500 0.2500  -0.05
2 I 0.7500 0.7500 0.7500  -0.05
3 Y 0.5000 0.5000 0.5000  0.06
4 O 0.0000 0.0000 0.0000  -0.80

Asked for E across the records above, the calculation gives -2.85, -7.35, -8.08, -4.78, -3.77, -5.88, -6.31, -4.19 eV/atom in order.
Asked for total moment across the records above, the calculation gives 0.00, 0.91, 0.00, 6.00, 0.00, 0.00, 0.76, 1.00 μB/f.u. in order.